Li3Cr2P3O12 (GGA+U, relaxed); volume = 230.7 Å³/f.u.; magnetic moment = 23.97 μB/cell; final energy = -7.0695 eV/atom; distance to the lowest polymorph of the same formula = 0.0070 eV/atom
1.0
8.720 0.000 0.000
0.000 8.670 -0.006
0.000 8.672 12.202
Li Cr P O
12 8 12 48
Direct
0.933 0.345 0.711 Li
0.270 0.381 0.815 Li
0.227 0.041 0.181 Li
0.727 0.959 0.319 Li
0.770 0.619 0.685 Li
0.433 0.655 0.789 Li
0.567 0.345 0.211 Li
0.230 0.381 0.315 Li
0.273 0.041 0.681 Li
0.773 0.959 0.819 Li
0.730 0.619 0.185 Li
0.067 0.655 0.289 Li
0.463 0.633 0.611 Cr
0.541 0.135 0.113 Cr
0.041 0.865 0.387 Cr
0.963 0.367 0.889 Cr
0.037 0.633 0.111 Cr
0.959 0.135 0.613 Cr
0.459 0.865 0.887 Cr
0.537 0.367 0.389 Cr
0.752 0.541 0.502 P
0.900 0.963 0.146 P
0.608 0.252 0.853 P
0.400 0.037 0.354 P
0.108 0.748 0.647 P
0.252 0.459 0.998 P
0.748 0.541 0.002 P
0.892 0.252 0.353 P
0.600 0.963 0.646 P
0.392 0.748 0.147 P
0.100 0.037 0.854 P
0.248 0.459 0.498 P
0.136 0.624 0.423 O
0.351 0.488 0.569 O
0.402 0.909 0.163 O
0.095 0.231 0.839 O
0.840 0.730 0.422 O
0.578 0.183 0.970 O
0.665 0.567 0.583 O
0.949 0.126 0.033 O
0.738 0.985 0.179 O
0.774 0.339 0.816 O
0.022 0.935 0.231 O
0.487 0.411 0.778 O
0.987 0.589 0.722 O
0.522 0.065 0.269 O
0.274 0.661 0.684 O
0.238 0.015 0.321 O
0.449 0.874 0.467 O
0.165 0.433 0.917 O
0.078 0.817 0.530 O
0.340 0.270 0.078 O
0.902 0.091 0.337 O
0.595 0.769 0.661 O
0.636 0.376 0.077 O
0.851 0.512 0.931 O
0.149 0.488 0.069 O
0.364 0.624 0.923 O
0.405 0.231 0.339 O
0.098 0.909 0.663 O
0.660 0.730 0.922 O
0.922 0.183 0.470 O
0.835 0.567 0.083 O
0.551 0.126 0.533 O
0.762 0.985 0.679 O
0.726 0.339 0.316 O
0.478 0.935 0.731 O
0.013 0.411 0.278 O
0.513 0.589 0.222 O
0.978 0.065 0.769 O
0.226 0.661 0.184 O
0.262 0.015 0.821 O
0.051 0.874 0.967 O
0.335 0.433 0.417 O
0.422 0.817 0.030 O
0.160 0.270 0.578 O
0.905 0.769 0.161 O
0.598 0.091 0.837 O
0.649 0.512 0.431 O
0.864 0.376 0.577 O